1.
{
  "formula": "ScTaNi2",
  "functional": "PBE",
  "state": "optimized geometry",
  "cell": [[-4.474, 0.556, 0.221], [-0.248, -3.244, 3.129], [0.357, 2.027, 2.130]],
  "species": ["Ni", "Sc", "Ni", "Ta"],
  "fractional_positions": [[0.000, 0.000, 0.000], [0.500, 0.000, 0.500], [0.500, 0.500, 0.000], [0.000, 0.500, 0.500]]
}



2.
{
  "formula": "Sc3TaNi",
  "functional": "PBE",
  "state": "optimized geometry",
  "e_above_lowest_polymorph_ev_per_atom": 0.000,
  "cell": [[4.778, 0.000, 0.000], [0.000, 4.778, 0.000], [0.000, 0.000, 4.778]],
  "species": ["Sc", "Ni", "Sc", "Sc", "Ta"],
  "fractional_positions": [[0.000, 0.000, 0.500], [0.000, 0.000, 0.000], [0.500, 0.000, 0.000], [0.000, 0.500, 0.000], [0.500, 0.500, 0.500]]
}



3.
{
  "formula": "Sc2TaNi",
  "functional": "PBE",
  "state": "optimized geometry",
  "e_above_lowest_polymorph_ev_per_atom": 0.181,
  "cell": [[9.140, -0.004, -0.003], [8.620, 3.038, -0.003], [8.620, 1.472, 2.657]],
  "species": ["Ni", "Sc", "Sc", "Ta"],
  "fractional_positions": [[0.750, 0.750, 0.750], [0.010, 0.010, 0.010], [0.490, 0.490, 0.490], [0.250, 0.250, 0.250]]
}



4.
{
  "formula": "Sc2TaNi",
  "functional": "PBE",
  "state": "optimized geometry",
  "e_above_lowest_polymorph_ev_per_atom": 0.000,
  "cell": [[-2.548, -0.087, -1.730], [-0.898, -2.565, 1.451], [-3.668, 4.221, 5.193]],
  "species": ["Ni", "Sc", "Sc", "Ta"],
  "fractional_positions": [[0.500, 0.500, 0.750], [0.000, 0.000, 0.535], [0.000, 0.000, 0.965], [0.500, 0.500, 0.250]]
}



5.
{
  "formula": "ScTaNi2",
  "functional": "PBE",
  "state": "optimized geometry",
  "cell": [[8.561, -0.003, -0.002], [8.055, 2.899, -0.002], [8.055, 1.404, 2.536]],
  "species": ["Ta", "Ni", "Ni", "Sc"],
  "fractional_positions": [[0.741, 0.741, 0.741], [0.996, 0.996, 0.996], [0.255, 0.255, 0.255], [0.508, 0.508, 0.508]]
}



6.
{
  "formula": "ScTaNi2",
  "functional": "PBE",
  "state": "optimized geometry",
  "cell": [[-2.401, 6.297, 1.385], [-5.143, -2.762, 3.641], [-2.227, 1.861, 4.766]],
  "species": ["Ta", "Ni", "Sc", "Ni", "Ta", "Ni", "Ni", "Sc"],
  "fractional_positions": [[0.000, 0.000, 0.000], [0.375, 0.358, 0.750], [0.250, 0.750, 0.500], [0.108, 0.625, 0.250], [0.750, 0.250, 0.500], [0.875, 0.892, 0.750], [0.642, 0.125, 0.250], [0.500, 0.500, 0.000]]
}



7.
{
  "formula": "ScTaNi2",
  "functional": "PBE",
  "state": "optimized geometry",
  "cell": [[-1.353, 4.074, 2.628], [-3.157, 2.060, 3.335], [2.216, -0.590, 3.977]],
  "species": ["Ni", "Sc", "Ni", "Ta"],
  "fractional_positions": [[0.982, 0.982, 0.956], [0.513, 0.513, 0.443], [0.274, 0.274, 0.286], [0.731, 0.731, 0.815]]
}



8.
{
  "formula": "ScTaNi2",
  "functional": "PBE",
  "state": "optimized geometry",
  "cell": [[-0.427, 7.493, 2.264], [-1.149, 5.991, 4.923], [1.857, 6.405, 4.121]],
  "species": ["Ni", "Sc", "Ni", "Ta"],
  "fractional_positions": [[0.495, 0.495, 0.495], [0.250, 0.250, 0.250], [0.005, 0.005, 0.005], [0.750, 0.750, 0.750]]
}



9.
{
  "formula": "Sc3TaNi",
  "functional": "PBE",
  "state": "optimized geometry",
  "e_above_lowest_polymorph_ev_per_atom": 0.644,
  "cell": [[5.038, 0.000, 0.000], [0.000, 5.038, 0.000], [0.000, 0.000, 5.038]],
  "species": ["Sc", "Ta", "Sc", "Ni", "Sc"],
  "fractional_positions": [[0.500, 0.000, 0.000], [0.000, 0.000, 0.000], [0.000, 0.500, 0.000], [0.500, 0.500, 0.500], [0.000, 0.000, 0.500]]
}



10.
{
  "formula": "Sc2TaNi2",
  "functional": "PBE",
  "state": "optimized geometry",
  "cell": [[6.997, 0.000, 0.000], [0.000, 6.997, 0.000], [0.000, 0.000, 3.421]],
  "species": ["Sc", "Ni", "Ni", "Ta", "Ni", "Sc", "Sc", "Sc", "Ta", "Ni"],
  "fractional_positions": [[0.168, 0.668, 0.500], [0.129, 0.371, 0.000], [0.371, 0.871, 0.000], [0.000, 0.000, 0.000], [0.629, 0.129, 0.000], [0.832, 0.332, 0.500], [0.332, 0.168, 0.500], [0.668, 0.832, 0.500], [0.500, 0.500, 0.000], [0.871, 0.629, 0.000]]
}



11.
{
  "formula": "Sc2TaNi",
  "functional": "PBE",
  "state": "optimized geometry",
  "e_above_lowest_polymorph_ev_per_atom": 0.298,
  "cell": [[-0.818, 1.019, 4.968], [4.171, -1.139, 2.773], [-0.671, 2.785, -4.264]],
  "species": ["Ta", "Ni", "Sc", "Sc"],
  "fractional_positions": [[0.250, 0.750, 0.500], [0.750, 0.250, 0.500], [0.000, 0.000, 0.000], [0.500, 0.500, 0.000]]
}



12.
{
  "formula": "ScTa2Ni",
  "functional": "PBE",
  "state": "optimized geometry",
  "e_above_lowest_polymorph_ev_per_atom": 0.227,
  "cell": [[-2.044, 4.684, 0.090], [-4.734, 0.019, 1.926], [4.451, -1.938, 1.598]],
  "species": ["Sc", "Ta", "Ni", "Ta"],
  "fractional_positions": [[0.750, 0.250, 0.500], [0.000, 0.000, 0.000], [0.500, 0.500, 0.000], [0.250, 0.750, 0.500]]
}



| no. | uncorrected energy (eV per cell) | ΔE_f (kcal/mol of atoms) |
| --- | --- | --- |
| 1 | -30.81 | -6.14 |
| 2 | -34.71 | 8.86 |
| 3 | -30.07 | 1.30 |
| 4 | -30.80 | -2.89 |
| 5 | -29.22 | 3.06 |
| 6 | -57.95 | 4.44 |
| 7 | -30.44 | -4.01 |
| 8 | -29.68 | 0.37 |
| 9 | -31.49 | 23.72 |
| 10 | -74.24 | -4.80 |
| 11 | -29.61 | 3.98 |
| 12 | -35.16 | 3.77 |